1.
This record from the Alexandria database describes Tl2RuPbC at its PBEsol-relaxed geometry. The functional is SCAN.

ΔH_f (0 K) = 0.874 eV/atom
Mass density = 11.47 g/cm3
SG = No. 123

POSCAR file:
```
Tl2RuPbC
1.0
5.2090 0.0000 0.0000
0.0000 5.2090 0.0000
0.0000 0.0000 3.8913
Tl Ru Pb C
2 1 1 1
Direct
0.0000 0.5000 0.0000
0.5000 0.0000 0.0000
0.0000 0.0000 0.5000
0.5000 0.5000 0.5000
0.0000 0.0000 0.0000
```

=====

2.
This record from the Alexandria database describes SbPb2C at its PBEsol-relaxed geometry. The functional is SCAN.

Raw formation energy = 1.47 eV/atom
Mass density = 9.81 g/cm3
SG = No. 225

POSCAR file:
```
SbPb2C
1.0
0.0000 3.5934 3.5934
3.5934 0.0000 3.5934
3.5934 3.5934 0.0000
Sb Pb C
1 2 1
Direct
0.0000 0.0000 0.0000
0.2500 0.2500 0.2500
0.7500 0.7500 0.7500
0.5000 0.5000 0.5000
```

=====

3.
This record from the Alexandria database describes Sc3PbC at its PBEsol-relaxed geometry. The functional is SCAN.

ΔH_f (0 K) = 1.567 eV/atom
Mass density = 4.02 g/cm3
SG = No. 221

POSCAR file:
```
Sc3PbC
1.0
5.2707 0.0000 0.0000
0.0000 5.2707 0.0000
0.0000 0.0000 5.2707
Sc Pb C
3 1 1
Direct
0.0000 0.0000 0.5000
0.0000 0.5000 0.0000
0.5000 0.0000 0.0000
0.0000 0.0000 0.0000
0.5000 0.5000 0.5000
```

=====

4.
This record from the Alexandria database describes Sc3PbC at its PBEsol-relaxed geometry. The functional is SCAN.

ΔH_f (0 K) = -0.870 eV/atom
Mass density = 6.41 g/cm3
SG = No. 221

POSCAR file:
```
Sc3PbC
1.0
4.5091 0.0000 0.0000
0.0000 4.5091 0.0000
0.0000 0.0000 4.5091
Sc Pb C
3 1 1
Direct
0.0000 0.0000 0.5000
0.0000 0.5000 0.0000
0.5000 0.0000 0.0000
0.5000 0.5000 0.5000
0.0000 0.0000 0.0000
```

=====

5.
This record from the Alexandria database describes PbC3Se at its PBEsol-relaxed geometry. The functional is SCAN.

Raw formation energy = 2.79 eV/atom
Mass density = 8.12 g/cm3
SG = No. 221

POSCAR file:
```
PbC3Se
1.0
4.0393 0.0000 0.0000
0.0000 4.0393 0.0000
0.0000 0.0000 4.0393
Pb C Se
1 3 1
Direct
0.0000 0.0000 0.0000
0.0000 0.5000 0.5000
0.5000 0.0000 0.5000
0.5000 0.5000 0.0000
0.5000 0.5000 0.5000
```

=====

6.
This record from the Alexandria database describes PbCSe3 at its PBEsol-relaxed geometry. The functional is SCAN.

Raw formation energy = 0.82 eV/atom
Mass density = 8.12 g/cm3
SG = No. 221

POSCAR file:
```
PbCSe3
1.0
4.5353 0.0000 0.0000
0.0000 4.5353 0.0000
0.0000 0.0000 4.5353
Pb C Se
1 1 3
Direct
0.0000 0.0000 0.0000
0.5000 0.5000 0.5000
0.0000 0.5000 0.5000
0.5000 0.0000 0.5000
0.5000 0.5000 0.0000
```

=====

7.
This record from the Alexandria database describes PbC2Se at its PBEsol-relaxed geometry. The functional is SCAN.

Raw formation energy = 2.66 eV/atom
Mass density = 8.96 g/cm3
SG = No. 225

POSCAR file:
```
PbC2Se
1.0
0.0000 3.0637 3.0637
3.0637 0.0000 3.0637
3.0637 3.0637 0.0000
Pb C Se
1 2 1
Direct
0.0000 0.0000 0.0000
0.2500 0.2500 0.2500
0.7500 0.7500 0.7500
0.5000 0.5000 0.5000
```

=====

8.
This record from the Alexandria database describes SnPb3C at its PBEsol-relaxed geometry. The functional is SCAN.

ΔH_f (0 K) = 1.821 eV/atom
Mass density = 6.58 g/cm3
SG = No. 221

POSCAR file:
```
SnPb3C
1.0
5.7462 0.0000 0.0000
0.0000 5.7462 0.0000
0.0000 0.0000 5.7462
Sn Pb C
1 3 1
Direct
0.0000 0.0000 0.0000
0.0000 0.0000 0.5000
0.0000 0.5000 0.0000
0.5000 0.0000 0.0000
0.5000 0.5000 0.5000
```

=====

9.
This record from the Alexandria database describes TlSnPb2C at its PBEsol-relaxed geometry. The functional is SCAN.

ΔH_f (0 K) = 1.147 eV/atom
Mass density = 8.57 g/cm3
SG = No. 123

POSCAR file:
```
TlSnPb2C
1.0
5.9908 0.0000 0.0000
0.0000 5.9908 0.0000
0.0000 0.0000 4.0469
Tl Sn Pb C
1 1 2 1
Direct
0.0000 0.0000 0.0000
0.5000 0.5000 0.5000
0.0000 0.5000 0.5000
0.5000 0.0000 0.5000
0.5000 0.5000 0.0000
```

=====

10.
This record from the Alexandria database describes Ti2PbC at its PBEsol-relaxed geometry. The functional is SCAN.

ΔH_f (0 K) = -0.703 eV/atom
Mass density = 8.60 g/cm3
SG = No. 194

POSCAR file:
```
Ti2PbC
1.0
3.1895 0.0000 0.0000
-1.5947 2.7622 0.0000
0.0000 0.0000 13.8053
Ti Pb C
4 2 2
Direct
0.3333 0.6667 0.0781
0.3333 0.6667 0.4219
0.6667 0.3333 0.5781
0.6667 0.3333 0.9219
0.3333 0.6667 0.7500
0.6667 0.3333 0.2500
0.0000 0.0000 0.0000
0.0000 0.0000 0.5000
```

=====

11.
This record from the Alexandria database describes TlPbC3 at its PBEsol-relaxed geometry. The functional is SCAN.

ΔH_f (0 K) = 3.239 eV/atom
Mass density = 8.03 g/cm3
SG = No. 221

POSCAR file:
```
TlPbC3
1.0
4.5232 0.0000 0.0000
0.0000 4.5232 0.0000
0.0000 0.0000 4.5232
Tl Pb C
1 1 3
Direct
0.0000 0.0000 0.0000
0.5000 0.5000 0.5000
0.0000 0.5000 0.5000
0.5000 0.0000 0.5000
0.5000 0.5000 0.0000
```

=====

12.
This record from the Alexandria database describes YZnPb2C at its PBEsol-relaxed geometry. The functional is SCAN.

ΔH_f (0 K) = 1.195 eV/atom
Mass density = 6.45 g/cm3
SG = No. 123

POSCAR file:
```
YZnPb2C
1.0
5.8884 0.0000 0.0000
0.0000 5.8884 0.0000
0.0000 0.0000 4.3137
Y Zn Pb C
1 1 2 1
Direct
0.0000 0.0000 0.0000
0.5000 0.5000 0.5000
0.0000 0.5000 0.0000
0.5000 0.0000 0.0000
0.0000 0.0000 0.5000
```

=====

Q: Number 2 is which compound?
A: SbPb2C